# 1
Ba9Pt2Au4 | PBE | relaxed

Cell lengths 8.1271, 8.1274, 22.7823 Å; angles 90.00, 89.99, 60.00 degrees
Fractional coordinates of all 30 atoms:
1 Ba 0.0002 0.3066 0.7500
2 Ba 0.3068 0.6933 0.7500
3 Ba 0.6934 0.0000 0.7500
4 Ba 0.9998 0.6934 0.2500
5 Ba 0.6932 0.3067 0.2500
6 Ba 0.3066 0.0000 0.2500
7 Ba 0.6763 0.9943 0.4145
8 Ba 0.9942 0.3294 0.4145
9 Ba 0.3292 0.6764 0.4145
10 Ba 0.6704 0.0058 0.0855
11 Ba 0.3235 0.6706 0.0855
12 Ba 0.0057 0.3235 0.0855
13 Ba 0.3237 0.0057 0.5855
14 Ba 0.0058 0.6706 0.5855
15 Ba 0.6708 0.3235 0.5855
16 Ba 0.3296 0.9941 0.9145
17 Ba 0.6765 0.3294 0.9145
18 Ba 0.9942 0.6765 0.9145
19 Pt 0.9999 0.0001 0.3387
20 Pt 0.9999 0.0000 0.1613
21 Pt 0.0001 0.9999 0.6613
22 Pt 0.0001 0.0000 0.8387
23 Au 0.3333 0.3334 0.9977
24 Au 0.3334 0.3333 0.4977
25 Au 0.6667 0.6666 0.0023
26 Au 0.3332 0.3334 0.1707
27 Au 0.6666 0.6667 0.5022
28 Au 0.6665 0.6667 0.3293
29 Au 0.3335 0.3333 0.6707
30 Au 0.6668 0.6666 0.8293

Calculated values
Mass density = 6.2 g/cm³
Symmetry = P-3c1, No. 165
Total magnetic moment = 0.0 μB per formula unit
Crystal system = trigonal
Calculated volume = 1303.3 Å³/cell

---

# 2
Ba2Pt2Au | PBE | relaxed

Cell lengths 5.9275, 5.9275, 8.9728 Å; angles 78.37, 78.37, 61.52 degrees
Fractional coordinates of all 10 atoms:
1 Ba 0.4916 0.2081 0.1528
2 Ba 0.7919 0.5084 0.3472
3 Ba 0.5084 0.7919 0.8472
4 Ba 0.2081 0.4916 0.6528
5 Pt 0.7288 0.0032 0.5062
6 Pt 0.9968 0.2712 0.9938
7 Pt 0.2712 0.9968 0.4938
8 Pt 0.0032 0.7288 0.0062
9 Au 0.1428 0.8572 0.2500
10 Au 0.8572 0.1428 0.7500

Calculated values
Mass density = 10.6 g/cm³
Symmetry = C2/c, No. 15
Total magnetic moment = 0.0 μB per formula unit
Crystal system = monoclinic
Distance to the lowest polymorph of the same formula = 0.014 eV/atom
Calculated volume = 269.4 Å³/cell

---

# 3
Ba6PtAu2 | PBE | relaxed

Cell lengths 7.6207, 8.1991, 13.9591 Å; angles 90.00, 90.00, 90.00 degrees
Fractional coordinates of all 18 atoms:
1 Ba 0.2381 0.1627 0.6600
2 Ba 0.2373 0.1625 0.3396
3 Ba 0.2743 0.1756 0.0000
4 Ba 0.7743 0.3244 0.5000
5 Ba 0.7373 0.3375 0.1604
6 Ba 0.7381 0.3373 0.8400
7 Ba 0.7619 0.8373 0.3400
8 Ba 0.7627 0.8375 0.6604
9 Ba 0.7257 0.8244 0.0000
10 Ba 0.2257 0.6756 0.5000
11 Ba 0.2627 0.6625 0.8396
12 Ba 0.2619 0.6627 0.1600
13 Pt 0.5000 0.5000 0.0000
14 Pt 0.0000 0.0000 0.5000
15 Au 0.5000 0.9998 0.1754
16 Au 0.0000 0.5002 0.3246
17 Au 0.0000 0.4998 0.6754
18 Au 0.5000 0.0002 0.8246

Calculated values
Mass density = 5.4 g/cm³
Symmetry = Pnnm, No. 58
Total magnetic moment = 0.0 μB per formula unit
Crystal system = orthorhombic
Distance to the lowest polymorph of the same formula = 0.000 eV/atom
Calculated volume = 872.2 Å³/cell

---

# 4
Ba2PtAu | PBE | relaxed

Cell lengths 8.4369, 8.4369, 7.3026 Å; angles 54.71, 54.71, 90.00 degrees
Fractional coordinates of all 8 atoms:
1 Au 0.0000 0.0000 0.0000
2 Au 0.7500 0.2500 0.5000
3 Ba 0.6046 0.1250 0.2500
4 Ba 0.1454 0.6250 0.2500
5 Ba 0.3750 0.3954 0.7500
6 Ba 0.8750 0.8546 0.7500
7 Pt 0.5000 0.5000 0.0000
8 Pt 0.2500 0.7500 0.5000

Calculated values
Mass density = 7.4 g/cm³
Symmetry = I-42d, No. 122
Total magnetic moment = 0.0 μB per formula unit
Crystal system = tetragonal
Calculated volume = 299.8 Å³/cell

---

| no. | formation enthalpy at 0 K (eV/atom) |
| --- | --- |
| 1 | -0.63 |
| 2 | -0.71 |
| 3 | -0.57 |
| 4 | -0.46 |